No. 1
16
Lattice="5.805 0.000 0.000 0.000 5.805 0.000 0.000 0.000 11.668" Properties=species:S:1:pos:R:3 comment="CaTmPa2As4 | Alexandria via LeMat-Bulk | PBE | optimized geometry" dos_at_fermi_per_ev_atom=1.105 energy_ev_per_atom=-6.703 pbc="T T T"
Ca 0.000 0.000 0.000
Ca 2.902 2.902 5.834
Tm 0.000 2.902 8.751
Tm 2.902 0.000 2.917
Pa 0.000 0.000 5.834
Pa 0.000 2.902 2.917
Pa 2.902 0.000 8.751
Pa 2.902 2.902 0.000
As 0.000 0.000 2.961
As 0.000 0.000 8.707
As 0.000 2.902 0.009
As 0.000 2.902 5.825
As 2.902 0.000 5.843
As 2.902 0.000 11.659
As 2.902 2.902 2.873
As 2.902 2.902 8.795

=====

No. 2
4
Lattice="4.341 0.000 0.000 0.000 3.897 0.000 -2.162 0.000 5.363" Properties=species:S:1:pos:R:3 comment="LiLaSi2 | Alexandria via LeMat-Bulk | PBE | optimized geometry" raw_formation_energy_ev_per_atom=-0.447 dos_at_fermi_per_ev_atom=0.447 relative_energy_mev_per_atom=176.1 pbc="T T T"
Li 0.000 0.000 0.000
La 2.178 1.948 2.526
Si 0.010 0.000 3.443
Si 0.004 1.948 4.857

=====

No. 3
8
Lattice="3.826 0.000 0.000 0.000 3.826 0.000 0.000 0.000 7.804" Properties=species:S:1:pos:R:3 comment="AlOs3 | Alexandria via LeMat-Bulk | PBE | optimized geometry" dos_at_fermi_per_ev_atom=1.238 energy_ev_per_atom=-9.291 pbc="T T T"
Al 0.000 0.000 0.000
Al 1.913 1.913 3.902
Os 0.000 0.000 3.902
Os 0.000 1.913 1.951
Os 0.000 1.913 5.853
Os 1.913 0.000 1.951
Os 1.913 0.000 5.853
Os 1.913 1.913 0.000

=====

No. 4
6
Lattice="2.364 0.000 0.000 0.716 5.172 0.000 0.764 0.934 6.296" Properties=species:S:1:pos:R:3 comment="LiVCr | Alexandria via LeMat-Bulk | PBE | optimized geometry" dos_at_fermi_per_ev_atom=0.998 relative_energy_mev_per_atom=187.3 pbc="T T T"
Li 0.000 0.000 0.000
Li 0.839 1.054 2.067
V 1.594 2.327 4.208
V 2.410 3.650 6.257
Cr 2.474 3.639 2.216
Cr 3.126 4.793 4.137

=====

No. 5
10
Lattice="-4.139 4.139 5.841 4.139 -4.139 5.841 4.139 4.139 -5.841" Properties=species:S:1:pos:R:3 comment="Cs2YCdBr6 | Alexandria via LeMat-Bulk | PBE | optimized geometry" raw_formation_energy_ev_per_atom=-1.542 dos_at_fermi_per_ev_atom=0.696 pbc="T T T"
Cs 4.139 0.000 2.920
Cs 0.000 4.139 2.920
Y 0.000 0.000 0.000
Cd 0.000 0.000 5.841
Br 1.987 1.987 0.000
Br 2.153 -2.153 5.841
Br 0.000 0.000 2.810
Br 0.000 0.000 8.871
Br -2.153 2.153 5.841
Br 2.153 2.153 5.841

=====

No. 6
4
Lattice="3.781 0.000 0.000 0.000 3.781 0.000 0.000 0.000 6.218" Properties=species:S:1:pos:R:3 comment="Hf2InSn | Alexandria via LeMat-Bulk | PBE | optimized geometry" dos_at_fermi_per_ev_atom=1.047 relative_energy_mev_per_atom=108.0 pbc="T T T"
Hf 0.000 0.000 1.517
Hf 0.000 0.000 4.701
In 1.891 1.891 3.109
Sn 1.891 1.891 0.000

=====

No. 7
10
Lattice="4.267 0.000 0.000 0.000 4.267 0.000 0.000 0.000 9.906" Properties=species:S:1:pos:R:3 comment="PaTcGe2Ir | Alexandria via LeMat-Bulk | PBE | optimized geometry" dos_at_fermi_per_ev_atom=0.738 energy_ev_per_atom=-8.113 pbc="T T T"
Pa 0.000 0.000 0.000
Pa 2.134 2.134 4.953
Tc 0.000 2.134 2.476
Tc 2.134 0.000 7.429
Ge 0.000 0.000 3.717
Ge 0.000 0.000 6.188
Ge 2.134 2.134 1.235
Ge 2.134 2.134 8.670
Ir 0.000 2.134 7.429
Ir 2.134 0.000 2.476

=====

No. 8
16
Lattice="7.015 0.000 0.000 0.000 7.015 0.000 0.000 0.000 7.015" Properties=species:S:1:pos:R:3 comment="PmHoP2 | Alexandria via LeMat-Bulk | PBE | optimized geometry" dos_at_fermi_per_ev_atom=0.387 relative_energy_mev_per_atom=530.9 pbc="T T T"
Pm 0.000 0.000 0.000
Pm 0.000 3.507 3.507
Pm 3.507 0.000 3.507
Pm 3.507 3.507 0.000
Ho 0.000 0.000 3.507
Ho 0.000 3.507 0.000
Ho 3.507 0.000 0.000
Ho 3.507 3.507 3.507
P 1.754 1.754 1.754
P 1.754 1.754 5.261
P 1.754 5.261 1.754
P 1.754 5.261 5.261
P 5.261 1.754 1.754
P 5.261 1.754 5.261
P 5.261 5.261 1.754
P 5.261 5.261 5.261

=====

No. 9
14
Lattice="-4.762 4.762 4.772 4.762 -4.762 4.772 4.762 4.762 -4.772" Properties=species:S:1:pos:R:3 comment="CeNd5Tl8 | Alexandria via LeMat-Bulk | PBE | optimized geometry" dos_at_fermi_per_ev_atom=1.399 energy_ev_per_atom=-3.755 pbc="T T T"
Ce 0.000 0.000 0.000
Nd 2.369 -1.200 3.574
Nd 3.562 2.393 1.197
Nd 2.393 5.962 -1.197
Nd 0.000 4.762 2.386
Nd 1.200 2.369 5.969
Tl 6.343 0.774 0.404
Tl 3.957 3.171 -1.982
Tl 0.774 3.181 -0.404
Tl 0.805 1.592 2.790
Tl 1.592 -0.805 6.753
Tl 3.988 1.581 4.368
Tl 3.171 5.567 1.982
Tl -1.581 3.988 5.175

=====

No. 10
16
Lattice="3.653 0.000 0.000 0.000 5.141 0.000 0.000 0.000 21.376" Properties=species:S:1:pos:R:3 comment="Er3Sc2Hg3 | Alexandria via LeMat-Bulk | PBE | optimized geometry" dos_at_fermi_per_ev_atom=1.268 energy_ev_per_atom=-3.759 pbc="T T T"
Er 0.000 0.000 0.000
Er 0.000 2.571 2.668
Er 0.000 2.571 18.708
Er 1.826 0.000 8.020
Er 1.826 0.000 13.356
Er 1.826 2.571 10.688
Sc 0.000 0.000 5.032
Sc 0.000 0.000 16.345
Sc 1.826 2.571 5.657
Sc 1.826 2.571 15.720
Hg 0.000 0.000 10.688
Hg 0.000 2.571 8.001
Hg 0.000 2.571 13.375
Hg 1.826 0.000 2.687
Hg 1.826 0.000 18.690
Hg 1.826 2.571 0.000